(1)
Entry from Alexandria via LeMat-Bulk: an optimized crystal structure of PmHoPb (PBE-GGA).

Output
The space-group type is P3m1, No. 156. The value obtained for the energy above the most stable polymorph in this dataset is 234 meV per atom. The electronic total energy comes out at -0.336 Ry/atom. For the formation energy, the calculation gives -0.219 eV per atom. Its density of states at the Fermi level is 2.73 states/eV/f.u.

abc: 3.950 5.238 5.238
angles: 120.00 90.00 90.00
Element x y z (fractional)
Ho 0.901 0.000 0.000
Pm 0.363 0.333 0.667
Pb 0.736 0.667 0.333

(2)
Entry from Alexandria via LeMat-Bulk: an optimized crystal structure of Rb4Pm3AlS8 (PBE-GGA).

Output
The space-group type is R-3m, No. 166. The electronic total energy comes out at -0.369 Ry/atom. The formation energy from raw total energies is -1590 meV per atom.

abc: 8.162 9.027 8.163
angles: 116.88 120.00 90.00
Element x y z (fractional)
Al 0.000 0.500 0.000
Rb 0.500 0.000 0.000
Rb 0.000 0.000 0.000
Rb 0.500 0.000 0.500
Rb 0.000 0.000 0.500
Pm 0.500 0.500 0.500
Pm 0.500 0.500 0.000
Pm 0.000 0.500 0.500
S 0.785 0.314 0.571
S 0.733 0.699 0.466
S 0.786 0.314 0.029
S 0.215 0.686 0.429
S 0.214 0.686 0.971
S 0.267 0.301 0.534
S 0.243 0.314 0.029
S 0.757 0.686 0.971

(3)
Entry from Alexandria via LeMat-Bulk: an optimized crystal structure of KLiTe4 (PBE-GGA).

Output
The space-group type is F-43m, No. 216. The electronic total energy comes out at -0.208 Ry/atom. Its density of states at the Fermi level is 0.75 states/eV/f.u. The formation energy from raw total energies is -237 meV per atom.

abc: 6.583 6.583 6.583
angles: 60.00 60.00 60.00
Element x y z (fractional)
Te 0.375 0.375 0.375
Te 0.375 0.375 0.876
Te 0.375 0.876 0.375
Te 0.876 0.375 0.375
Li 0.000 0.000 0.000
K 0.750 0.750 0.750

(4)
Entry from Alexandria via LeMat-Bulk: an optimized crystal structure of PrH6IrRh (PBE-GGA).

Output
The space-group type is P-6m2, No. 187. The electronic total energy comes out at -0.357 Ry/atom. Its density of states at the Fermi level is 3.59 states/eV/f.u.

abc: 4.797 4.797 4.265
angles: 90.00 90.00 60.00
Last column: magnetic moment on the atom in μB.
Element x y z (fractional)
H 0.010 0.495 0.235  0.00
H 0.496 0.010 0.235  0.00
H 0.010 0.496 0.765  0.00
H 0.495 0.010 0.765  0.00
H 0.494 0.496 0.235  0.00
H 0.496 0.495 0.765  0.00
Pr 0.000 0.000 0.000  0.00
Rh 0.667 0.667 0.500  -0.46
Ir 0.333 0.333 0.500  -0.34

(5)
Entry from Alexandria via LeMat-Bulk: an optimized crystal structure of TbSmPaN3 (PBE-GGA).

Output
The space-group type is P2_1/m, No. 11. The electronic total energy comes out at -0.644 Ry/atom. Its density of states at the Fermi level is 1.66 states/eV/f.u. The formation energy from raw total energies is -1461 meV per atom.

abc: 3.514 6.032 9.104
angles: 101.74 90.00 90.00
Element x y z (fractional)
N 0.250 0.750 0.511
N 0.250 0.965 0.861
N 0.250 0.457 0.853
N 0.750 0.250 0.489
N 0.750 0.543 0.147
N 0.750 0.035 0.139
Tb 0.750 0.852 0.364
Tb 0.250 0.148 0.636
Sm 0.250 0.343 0.309
Sm 0.750 0.657 0.691
Pa 0.250 0.765 0.047
Pa 0.750 0.235 0.953